Here is an optimized crystal structure of BaTiMoO6 from Alexandria. Energies are from PBE with a Hubbard U.

Output
total energy	-7.432	eV/atom
SG	P4_2nm

abc: 5.3849 5.3849 9.9042
angles: 90.00 90.00 90.00
Closest atoms and distances in Å follow each position.
Fractional coordinates of all 18 atoms:
1 O 0.7978 0.7978 0.2547  1 Ti 1.78
2 O 0.2022 0.2022 0.2547  1 Ti 1.78
3 O 0.7993 0.7993 0.7407  1 Mo 1.77
4 O 0.3403 0.3403 0.0023  1 Mo 1.91, 1 Ti 1.98
5 O 0.2978 0.7022 0.7547  1 Ti 1.78
6 O 0.1597 0.8403 0.5023  1 Mo 1.91, 1 Ti 1.98
7 O 0.7007 0.2993 0.2407  1 Mo 1.77
8 O 0.6597 0.6597 0.0023  1 Mo 1.91, 1 Ti 1.98
9 O 0.2993 0.7007 0.2407  1 Mo 1.77
10 O 0.7022 0.2978 0.7547  1 Ti 1.78
11 O 0.8403 0.1597 0.5023  1 Mo 1.91, 1 Ti 1.98
12 O 0.2007 0.2007 0.7407  1 Mo 1.77
13 Ba 0.0000 0.0000 0.0092  4 O 2.59-2.88
14 Ba 0.5000 0.5000 0.5092  4 O 2.59-2.88
15 Ti 0.0000 0.0000 0.3442  4 O 1.78-1.98
16 Ti 0.5000 0.5000 0.8442  4 O 1.78-1.98
17 Mo 0.0000 0.0000 0.6513  4 O 1.77-1.91
18 Mo 0.5000 0.5000 0.1513  4 O 1.77-1.91